(1)
LaFeTe4 at its PBEsol-relaxed geometry. Source: Alexandria, functional SCAN.

Output
Uncorrected energy (eV per atom): -34.801

Lattice parameters (Å, degrees): 8.7858 8.7858 8.7858 90.00 90.00 90.00
Closest atoms and distances in Å follow each position.
Space group F-43m (No. 216)
Symmetry-distinct sites (fractional):
La1 0.0000 0.0000 0.0000  12 Te 3.64, 4 Fe 3.80
Fe1 0.2500 0.2500 0.7500  12 Te 3.64, 4 La 3.80
Te1 0.1245 0.1245 0.3755  6 Te 3.09-3.12


(2)
La2FeTe at its PBEsol-relaxed geometry. Source: Alexandria, functional SCAN.

Output
Uncorrected energy (eV per atom): -35.583

Lattice parameters (Å, degrees): 5.0362 5.0655 8.4188 90.00 90.00 90.00
Closest atoms and distances in Å follow each position.
Space group Cmm2 (No. 35)
Symmetry-distinct sites (fractional):
La1 0.0000 0.0000 0.0000  4 Te 3.27-3.28, 1 Fe 3.31, 4 La 3.57
La2 0.0000 0.5000 0.3814  1 Te 3.12, 4 Fe 3.15-3.16
Fe1 0.0000 0.0000 0.6064  4 Te 2.80-2.81
Te1 0.0000 0.5000 0.7515  4 Fe 2.80-2.81, 1 La 3.12


(3)
LaTi3Fe at its PBEsol-relaxed geometry. Source: Alexandria, functional SCAN.

Output
Uncorrected energy (eV per atom): -20.329
ΔE_f (eV per atom): 1.536

Lattice parameters (Å, degrees): 4.6787 4.6787 4.6787 90.00 90.00 90.00
Closest atoms and distances in Å follow each position.
Space group Pm-3m (No. 221)
Symmetry-distinct sites (fractional):
La1 0.0000 0.0000 0.0000  6 Ti 2.34
Ti1 0.0000 0.0000 0.5000  2 La 2.34
Fe1 0.5000 0.5000 0.5000  12 Ti 3.31


(4)
LaTl2Fe at its PBEsol-relaxed geometry. Source: Alexandria, functional SCAN.

Output
Uncorrected energy (eV per atom): -51.488
ΔE_f (eV per atom): 0.000

Lattice parameters (Å, degrees): 4.8562 4.8562 7.9559 90.00 90.00 90.00
Closest atoms and distances in Å follow each position.
Space group I4/mmm (No. 139)
Symmetry-distinct sites (fractional):
La1 0.0000 0.0000 0.0000  8 Tl 3.14, 4 Fe 3.43
Tl1 0.0000 0.5000 0.2500  4 Fe 3.14, 4 La 3.14, 4 Tl 3.43
Fe1 0.0000 0.0000 0.5000  8 Tl 3.14, 4 La 3.43


Question: Which value of uncorrected energy does entry 2 give?
Answer: -35.583 eV per atom


Copy entry 3 word for word.
LaTi3Fe at its PBEsol-relaxed geometry. Source: Alexandria, functional SCAN.

Output
Uncorrected energy (eV per atom): -20.329
ΔE_f (eV per atom): 1.536

Lattice parameters (Å, degrees): 4.6787 4.6787 4.6787 90.00 90.00 90.00
Closest atoms and distances in Å follow each position.
Space group Pm-3m (No. 221)
Symmetry-distinct sites (fractional):
La1 0.0000 0.0000 0.0000  6 Ti 2.34
Ti1 0.0000 0.0000 0.5000  2 La 2.34
Fe1 0.5000 0.5000 0.5000  12 Ti 3.31